DFT (PBE-GGA) results for a geometry-optimized La7Pr3Cd structure.

As for the total energy: -96.260 eV per cell. The energy relative to the elements is 0.15 eV per atom. The calculated density comes out at 6.1 g/cm³.

The space group is C2/m (No. 12) and the conventional cell measures 11.749, 10.592 and 6.570 Å, with angles of 90.00, 91.64 and 90.00 degrees. Symmetry generates all atoms from La at (0.000, 0.000, 0.000), La at (0.212, 0.171, 0.719), La at (0.241, 0.500, 0.797), Pr at (0.000, 0.333, 0.000), Pr at (0.000, 0.500, 0.500) and Cd at (0.000, 0.000, 0.500).